## KBaMg2Ag (PBEsol)

Data for a geometry-optimized KBaMg2Ag structure.

Values from the calculation:
The energy comes out at -1.93 eV/atom. The calculation puts the energy of formation from the pure elements at 71 meV/atom.

Cell lengths 5.4795, 5.4795, 6.0395 Å; angles 90.00, 90.00, 90.00 degrees
Space group P4/mmm (No. 123)
Unique sites:
K (0.0000, 0.0000, 0.0000)
Ba (0.5000, 0.5000, 0.0000)
Mg (0.0000, 0.5000, 0.5000)
Ag (0.5000, 0.5000, 0.5000)

***

## BaZn (PBEsol)

Data for a geometry-optimized BaZn structure.

Values from the calculation:
The energy comes out at -1.77 eV/atom. The calculation puts the energy of formation from the pure elements at 97 meV/atom.

Cell lengths 4.3437, 4.3437, 13.6579 Å; angles 90.00, 90.00, 120.00 degrees
Space group R-3m (No. 166, hexagonal axes)
Unique sites:
Ba (0.0000, 0.0000, 0.0000)
Zn (0.0000, 0.0000, 0.5000)

***

## CrPdN2F (PBEsol)

Data for a geometry-optimized CrPdN2F structure.

Values from the calculation:
The energy comes out at -6.14 eV/atom. For the raw formation energy, the calculation gives 4.5 eV per formula unit.

Cell lengths 3.8997, 3.8997, 4.0060 Å; angles 90.00, 90.00, 90.00 degrees
Space group P4/mmm (No. 123)
Unique sites:
Cr (0.0000, 0.0000, 0.0000)
Pd (0.5000, 0.5000, 0.5000)
N (0.0000, 0.5000, 0.5000)
F (0.5000, 0.5000, 0.0000)

***

## Ce3Si4Rh4 (PBEsol)

Data for a geometry-optimized Ce3Si4Rh4 structure.

Values from the calculation:
The energy comes out at -7.85 eV/atom. For the raw formation energy, the calculation gives -11.1 eV per formula unit.

Cell lengths 3.9180, 4.1326, 24.2940 Å; angles 90.00, 90.00, 90.00 degrees
Space group Immm (No. 71)
Unique sites:
Ce (0.0000, 0.0000, 0.0000)
Ce (0.0000, 0.5000, 0.1443)
Si (0.0000, 0.0000, 0.4518)
Si (0.0000, 0.5000, 0.3030)
Rh (0.0000, 0.0000, 0.2507)
Rh (0.0000, 0.5000, 0.4019)

***

## SmFe2Co2B (PBEsol)

Data for a geometry-optimized SmFe2Co2B structure.

Values from the calculation:
The energy comes out at -7.84 eV/atom. The calculation puts the energy of formation from the pure elements at -255 meV/atom.

Cell lengths 4.9925, 8.7172, 6.7792 Å; angles 90.00, 90.00, 90.00 degrees
Space group Cmm2 (No. 35)
Unique sites:
Sm (0.0000, 0.0000, 0.0000)
Sm (0.0000, 0.0000, 0.4914)
Fe (0.0000, 0.3313, 0.4909)
Fe (0.2500, 0.2500, 0.7795)
Co (0.0000, 0.5000, 0.2075)
Co (0.0000, 0.5000, 0.7792)
Co (0.2500, 0.2500, 0.2044)
B (0.0000, 0.3354, 0.9959)

***

## LiI (PBEsol)

Data for a geometry-optimized LiI structure.

Values from the calculation:
The energy comes out at -3.07 eV/atom. Its offset from the most stable computed form is 11 meV/atom. For the raw formation energy, the calculation gives -2.4 eV per formula unit.

Cell lengths 4.4931, 4.4931, 7.2564 Å; angles 90.00, 90.00, 120.00 degrees
Space group P6_3mc (No. 186)
Unique sites:
Li (0.3333, 0.6667, 0.0000)
I (0.3333, 0.6667, 0.6214)

***

## LaTe2C (PBEsol)

Data for a geometry-optimized LaTe2C structure.

Values from the calculation:
The energy comes out at -4.98 eV/atom. For the raw formation energy, the calculation gives 2.1 eV per formula unit.

Cell lengths 3.7824, 3.7824, 22.8188 Å; angles 90.00, 90.00, 120.00 degrees
Space group R-3m (No. 166, hexagonal axes)
Unique sites:
La (0.0000, 0.0000, 0.0000)
Te (0.0000, 0.0000, 0.2279)
C (0.0000, 0.0000, 0.5000)

***

## CoMo2As (PBEsol)

Data for a geometry-optimized CoMo2As structure.

Values from the calculation:
The energy comes out at -8.87 eV/atom. The calculation puts the energy of formation from the pure elements at 228 meV/atom.

Cell lengths 6.0462, 6.0462, 6.0462 Å; angles 90.00, 90.00, 90.00 degrees
Space group F-43m (No. 216)
Unique sites:
Co (0.0000, 0.0000, 0.0000)
Mo (0.0000, 0.0000, 0.5000)
Mo (0.2500, 0.2500, 0.2500)
As (0.2500, 0.2500, 0.7500)

***

## UCl4 (PBEsol)

Data for a geometry-optimized UCl4 structure.

Values from the calculation:
The energy comes out at -5.65 eV/atom. For the raw formation energy, the calculation gives -8.0 eV per formula unit.

Cell lengths 8.2137, 8.2137, 7.4363 Å; angles 90.00, 90.00, 90.00 degrees
Space group I4_1/amd (No. 141, origin choice 2)
Unique sites:
U (0.0000, 0.2500, 0.3750)
Cl (0.0000, 0.0634, 0.6961)

***

## TlBSe2 (PBEsol)

Data for a geometry-optimized TlBSe2 structure.

Values from the calculation:
The energy comes out at -4.46 eV/atom. For the raw formation energy, the calculation gives -0.5 eV per formula unit.

Cell lengths 6.6499, 6.6499, 7.7767 Å; angles 90.00, 90.00, 90.00 degrees
Space group I-42d (No. 122)
Unique sites:
Tl (0.0000, 0.0000, 0.0000)
B (0.0000, 0.0000, 0.5000)
Se (0.1263, 0.7500, 0.6250)

***

## RbSeS2 (PBEsol)

Data for a geometry-optimized RbSeS2 structure.

Values from the calculation:
The energy comes out at -3.64 eV/atom. For the raw formation energy, the calculation gives -0.9 eV per formula unit.

Cell lengths 6.4397, 6.4397, 12.9861 Å; angles 90.00, 90.00, 90.00 degrees
Space group I-42d (No. 122)
Unique sites:
Rb (0.0000, 0.0000, 0.0000)
Se (0.0000, 0.0000, 0.5000)
S (0.1198, 0.2500, 0.6250)

***

## HfTcTe2 (PBEsol)

Data for a geometry-optimized HfTcTe2 structure.

Values from the calculation:
The energy comes out at -6.93 eV/atom. For the raw formation energy, the calculation gives 1.1 eV per formula unit.

Cell lengths 4.6861, 4.6861, 17.0835 Å; angles 90.00, 90.00, 90.00 degrees
Space group I-42d (No. 122)
Unique sites:
Hf (0.0000, 0.0000, 0.0000)
Tc (0.0000, 0.0000, 0.5000)
Te (0.2215, 0.2500, 0.6250)

***

## NbPdAuO2 (PBEsol)

Data for a geometry-optimized NbPdAuO2 structure.

Values from the calculation:
The energy comes out at -5.74 eV/atom. For the raw formation energy, the calculation gives 2.5 eV per formula unit.

Cell lengths 3.8981, 3.8981, 4.9556 Å; angles 90.00, 90.00, 90.00 degrees
Space group P4/mmm (No. 123)
Unique sites:
Nb (0.0000, 0.0000, 0.0000)
Pd (0.5000, 0.5000, 0.5000)
Au (0.5000, 0.5000, 0.0000)
O (0.0000, 0.5000, 0.5000)